# YInSi4

Crystalline YInSi4 at its relaxed geometry (GGA-PBE, the Alexandria database).

Cell: 7.5715 7.5715 7.5715 Å, 90.00 90.00 90.00°
With the nearest neighbours (Å) after each atom.
Space group F-43m (No. 216)
Inequivalent atoms, fractional coordinates:
Y (0.0000, 0.0000, 0.0000) [4 per cell]  12 Si 3.15, 4 In 3.28
In (0.2500, 0.2500, 0.7500) [4 per cell]  12 Si 3.13, 4 Y 3.28
Si (0.1218, 0.1218, 0.3782) [16 per cell]  6 Si 2.61-2.75

Results
Energy in eV per atom: -5.1697



# Y2InSi

Crystalline Y2InSi at its relaxed geometry (GGA-PBE, the Alexandria database).

Cell: 7.3338 7.3338 7.3338 Å, 90.00 90.00 90.00°
With the nearest neighbours (Å) after each atom.
Space group F-43m (No. 216)
Inequivalent atoms, fractional coordinates:
Y (0.0000, 0.0000, 0.0000) [4 per cell]  4 Si 3.18, 4 Y 3.18
Y (0.2500, 0.2500, 0.2500) [4 per cell]  4 In 3.18, 4 Y 3.18
In (0.0000, 0.0000, 0.5000) [4 per cell]  4 Si 3.18, 4 Y 3.18
Si (0.2500, 0.2500, 0.7500) [4 per cell]  4 In 3.18, 4 Y 3.18

Results
Energy in eV per atom: -5.1306



# YIn2Si

Crystalline YIn2Si at its relaxed geometry (GGA-PBE, the Alexandria database).

Cell: 3.5575 3.5575 27.3854 Å, 90.00 90.00 120.00°
With the nearest neighbours (Å) after each atom.
Space group R-3m (No. 166, hexagonal axes)
Inequivalent atoms, fractional coordinates:
Y (0.0000, 0.0000, 0.0000) [3 per cell]  6 In 3.29, 6 Y 3.56
In (0.0000, 0.0000, 0.2396) [6 per cell]  3 Si 2.86
Si (0.0000, 0.0000, 0.5000) [3 per cell]  6 In 2.86

Results
Distance to the lowest polymorph of the same formula in meV per atom: 372
Energy in eV per atom: -4.2690



# Y2InSi

Crystalline Y2InSi at its relaxed geometry (GGA-PBE, the Alexandria database).

Cell: 6.8899 8.3515 3.3513 Å, 90.00 90.00 90.00°
With the nearest neighbours (Å) after each atom.
Space group Cmmm (No. 65)
Inequivalent atoms, fractional coordinates:
Y (0.2500, 0.2500, 0.0000) [4 per cell]  4 In 3.18, 4 Si 3.18, 4 Y 3.35-3.44
In (0.0000, 0.0000, 0.5000) [2 per cell]  8 Y 3.18, 2 In 3.35, 2 Si 3.44
Si (0.0000, 0.5000, 0.5000) [2 per cell]  8 Y 3.18, 2 Si 3.35, 2 In 3.44

Results
Energy in eV per atom: -5.7056



| no. | D(E_F) (states/eV per cell) | E_form (uncorrected) (eV/atom) |
| --- | --- | --- |
| 1 | 18.98 | -0.021 |
| 2 | 23.68 | 0.142 |
| 3 | 11.75 | 0.072 |
| 4 | 4.15 | -0.433 |